Computed, not measured: a relaxed structure of LaTmCr2O8 at the GGA+U level of DFT.

space group = I-4m2
total energy = -7.65 eV/atom
crystal system = tetragonal
DOS(E_F) = 0.71 states/eV/cell
magnetic moment = 2.00 μB per formula unit

Lattice parameters (Å, degrees): 6.0884 6.0884 6.0884 105.93 105.93 116.82
Site moments in Bohr magnetons follow the coordinates.
Atoms (fractional coordinates):
O (0.9143, 0.2262, 0.3119)  -0.02
Cr (0.5000, 0.5000, 0.0000)  1.11
O (0.3976, 0.0857, 0.3119)  -0.02
O (0.7738, 0.0857, 0.6881)  -0.02
Tm (0.0000, 0.0000, 0.0000)  0.03
O (0.3221, 0.4984, 0.1764)  -0.03
La (0.2500, 0.7500, 0.5000)  0.01
O (0.5016, 0.6779, 0.8236)  -0.03
Cr (0.7500, 0.2500, 0.5000)  1.07
O (0.3221, 0.1457, 0.8236)  -0.03
O (0.8543, 0.6779, 0.1764)  -0.03
O (0.9143, 0.6024, 0.6881)  -0.02